[1]
CeZnPb | PBE-GGA | relaxed

a = 6.5709 Å, b = 6.5709 Å, c = 6.5709 Å
α = 148.53°, β = 148.53°, γ = 45.10°
Last column: nearest neighbours and their distance in Å.
Element x y z (fractional)
Ce (0.0000, 0.0000, 0.0000)  4 Zn 3.15, 4 Pb 3.51
Zn (0.6557, 0.6557, 0.0000)  4 Pb 3.06, 4 Ce 3.15
Pb (0.2983, 0.2983, 0.0000)  4 Zn 3.06

The value obtained for the calculated total energy is -3.790 eV per atom.


[2]
CeZn2Pb | PBE-GGA | relaxed

a = 3.6472 Å, b = 3.6472 Å, c = 7.1254 Å
α = 90.00°, β = 90.00°, γ = 90.00°
Last column: nearest neighbours and their distance in Å.
Element x y z (fractional)
Ce (0.0000, 0.0000, 0.0000)  8 Zn 3.17
Zn (0.5000, 0.5000, 0.2595)  4 Pb 3.10, 4 Ce 3.17, 1 Zn 3.43
Zn (0.5000, 0.5000, 0.7405)  4 Pb 3.10, 4 Ce 3.17, 1 Zn 3.43
Pb (0.0000, 0.0000, 0.5000)  8 Zn 3.10

The value obtained for the calculated total energy is -3.129 eV per atom.


[3]
CeZrPb | PBE-GGA | relaxed

a = 4.4364 Å, b = 4.4364 Å, c = 8.6525 Å
α = 90.00°, β = 90.00°, γ = 90.00°
Last column: nearest neighbours and their distance in Å.
Element x y z (fractional)
Ce (0.2500, 0.2500, 0.1506)  5 Pb 3.24-3.41
Ce (0.7500, 0.7500, 0.8494)  5 Pb 3.24-3.41
Zr (0.2500, 0.7500, 0.5000)  4 Pb 3.14, 4 Zr 3.14
Zr (0.7500, 0.2500, 0.5000)  4 Pb 3.14, 4 Zr 3.14
Pb (0.2500, 0.2500, 0.7564)  4 Zr 3.14, 5 Ce 3.24-3.41
Pb (0.7500, 0.7500, 0.2436)  4 Zr 3.14, 5 Ce 3.24-3.41

The value obtained for the calculated total energy is -6.332 eV per atom.


[4]
CeZrPb | PBE-GGA | relaxed

a = 6.1204 Å, b = 6.1204 Å, c = 6.1204 Å
α = 128.78°, β = 115.96°, γ = 86.32°
Last column: nearest neighbours and their distance in Å.
Element x y z (fractional)
Ce (0.1523, 0.1523, 0.0000)  1 Ce 2.72
Ce (0.8477, 0.8477, 0.0000)  1 Ce 2.72
Zr (0.3357, 0.8357, 0.5000)  1 Zr 2.93, 4 Ce 3.11-3.25
Zr (0.6643, 0.1643, 0.5000)  1 Zr 2.93, 4 Ce 3.11-3.25
Pb (0.2591, 0.5000, 0.7591)  2 Pb 3.13-3.36, 6 Zr 3.40-3.44, 6 Ce 3.42-3.48
Pb (0.7409, 0.5000, 0.2409)  2 Pb 3.13-3.36, 6 Zr 3.40-3.44, 6 Ce 3.42-3.48

The value obtained for the calculated total energy is -5.985 eV per atom.


[5]
CeZrPb | PBE-GGA | relaxed

a = 5.2862 Å, b = 5.2862 Å, c = 3.4023 Å
α = 90.00°, β = 90.00°, γ = 120.00°
Last column: nearest neighbours and their distance in Å.
Element x y z (fractional)
Ce (0.0000, 0.0000, 0.0000)  2 Ce 3.40, 6 Pb 3.49-3.50, 6 Zr 3.49-3.50
Zr (0.6667, 0.3333, 0.4990)  3 Pb 3.05, 2 Zr 3.40
Pb (0.3333, 0.6667, 0.5022)  3 Zr 3.05, 2 Pb 3.40

The value obtained for the calculated total energy is -6.076 eV per atom.


[6]
CeZr2Pb | PBE-GGA | relaxed

a = 4.4445 Å, b = 4.4377 Å, c = 11.3402 Å
α = 90.00°, β = 101.26°, γ = 90.00°
Last column: nearest neighbours and their distance in Å.
Element x y z (fractional)
Ce (0.1938, 0.2500, 0.3890)  5 Pb 3.26-3.35
Ce (0.8062, 0.7500, 0.6110)  5 Pb 3.26-3.35
Zr (0.0503, 0.7500, 0.1011)  8 Zr 3.14-3.16, 2 Pb 3.21
Zr (0.4504, 0.7500, 0.9004)  8 Zr 3.14-3.15, 2 Pb 3.22
Zr (0.5496, 0.2500, 0.0996)  8 Zr 3.14-3.15, 2 Pb 3.22
Zr (0.9497, 0.2500, 0.8989)  8 Zr 3.14-3.16, 2 Pb 3.21
Pb (0.3459, 0.2500, 0.6905)  4 Zr 3.21-3.22, 5 Ce 3.26-3.35
Pb (0.6541, 0.7500, 0.3095)  4 Zr 3.21-3.22, 5 Ce 3.26-3.35

The value obtained for the calculated total energy is -6.911 eV per atom.


[7]
CeZr2Pb | PBE-GGA | relaxed

a = 3.7621 Å, b = 3.7621 Å, c = 6.8961 Å
α = 90.00°, β = 90.00°, γ = 90.00°
Last column: nearest neighbours and their distance in Å.
Element x y z (fractional)
Ce (0.0000, 0.0000, 0.0000)  8 Zr 3.22, 2 Pb 3.45
Zr (0.5000, 0.5000, 0.2636)  4 Pb 3.12, 4 Ce 3.22, 1 Zr 3.26
Zr (0.5000, 0.5000, 0.7364)  4 Pb 3.12, 4 Ce 3.22, 1 Zr 3.26
Pb (0.0000, 0.0000, 0.5000)  8 Zr 3.12, 2 Ce 3.45

The value obtained for the calculated total energy is -6.730 eV per atom.


[8]
CeZrPb2 | PBE-GGA | relaxed

a = 5.3429 Å, b = 5.3429 Å, c = 5.3429 Å
α = 60.00°, β = 60.00°, γ = 60.00°
Last column: nearest neighbours and their distance in Å.
Element x y z (fractional)
Ce (0.0000, 0.0000, 0.0000)  8 Pb 3.27
Zr (0.5000, 0.5000, 0.5000)  8 Pb 3.27
Pb (0.2500, 0.2500, 0.2500)  4 Zr 3.27, 4 Ce 3.27
Pb (0.7500, 0.7500, 0.7500)  4 Zr 3.27, 4 Ce 3.27

The value obtained for the calculated total energy is -5.657 eV per atom.


[9]
CeZr2Pb | PBE-GGA | relaxed

a = 5.1459 Å, b = 5.1459 Å, c = 5.1459 Å
α = 60.00°, β = 60.00°, γ = 60.00°
Last column: nearest neighbours and their distance in Å.
Element x y z (fractional)
Ce (0.0000, 0.0000, 0.0000)  8 Zr 3.15
Zr (0.2500, 0.2500, 0.2500)  4 Ce 3.15, 4 Pb 3.15
Zr (0.7500, 0.7500, 0.7500)  4 Pb 3.15, 4 Ce 3.15
Pb (0.5000, 0.5000, 0.5000)  8 Zr 3.15

The value obtained for the calculated total energy is -6.669 eV per atom.


[10]
CeZrPb | PBE-GGA | relaxed

a = 5.5136 Å, b = 5.5136 Å, c = 5.5136 Å
α = 136.09°, β = 136.09°, γ = 63.85°
Last column: nearest neighbours and their distance in Å.
Element x y z (fractional)
Ce (0.0000, 0.0000, 0.0000)  1 Zr 2.63
Zr (0.2811, 0.2811, 0.0000)  1 Ce 2.63
Pb (0.6547, 0.6547, 0.0000)  5 Zr 3.15-3.50, 5 Ce 3.23-3.26

The value obtained for the calculated total energy is -6.147 eV per atom.


[11]
CeZrPb2 | PBE-GGA | relaxed

a = 4.8735 Å, b = 4.8735 Å, c = 4.4988 Å
α = 90.00°, β = 90.00°, γ = 90.00°
Last column: nearest neighbours and their distance in Å.
Element x y z (fractional)
Ce (0.0000, 0.0000, 0.0000)  8 Pb 3.32, 4 Zr 3.45
Zr (0.5000, 0.5000, 0.0000)  8 Pb 3.32, 4 Ce 3.45
Pb (0.0000, 0.5000, 0.5000)  4 Zr 3.32, 4 Ce 3.32, 4 Pb 3.45
Pb (0.5000, 0.0000, 0.5000)  4 Zr 3.32, 4 Ce 3.32, 4 Pb 3.45

The value obtained for the calculated total energy is -5.674 eV per atom.


[12]
CeZrPb2 | PBE-GGA | relaxed

a = 3.9971 Å, b = 3.9971 Å, c = 6.7141 Å
α = 90.00°, β = 90.00°, γ = 90.00°
Last column: nearest neighbours and their distance in Å.
Element x y z (fractional)
Ce (0.0000, 0.0000, 0.0000)  2 Zr 3.36, 8 Pb 3.36
Zr (0.0000, 0.0000, 0.5000)  8 Pb 3.22, 2 Ce 3.36
Pb (0.5000, 0.5000, 0.2712)  1 Pb 3.07, 4 Zr 3.22, 4 Ce 3.36
Pb (0.5000, 0.5000, 0.7288)  1 Pb 3.07, 4 Zr 3.22, 4 Ce 3.36

The value obtained for the calculated total energy is -5.698 eV per atom.


Repeat the tenth record exactly.
CeZrPb | PBE-GGA | relaxed

a = 5.5136 Å, b = 5.5136 Å, c = 5.5136 Å
α = 136.09°, β = 136.09°, γ = 63.85°
Last column: nearest neighbours and their distance in Å.
Element x y z (fractional)
Ce (0.0000, 0.0000, 0.0000)  1 Zr 2.63
Zr (0.2811, 0.2811, 0.0000)  1 Ce 2.63
Pb (0.6547, 0.6547, 0.0000)  5 Zr 3.15-3.50, 5 Ce 3.23-3.26

The value obtained for the calculated total energy is -6.147 eV per atom.


The highest calculated total energy belongs to which entry? CeZn2Pb